First-principles (PBE) data for a geometry-optimized Te5Pt structure, as listed in Alexandria via LeMat-Bulk.

ΔE_f (raw) (kJ/mol of atoms): 27
Density of states at the Fermi level (states/eV/atom): 0.6056

Geometry as POSCAR:
```
Te5Pt
1.0
3.5994 0.0000 0.0000
0.0000 3.5994 0.0000
0.0000 0.0000 12.4869
Te Pt
5 1
Direct
0.0000 0.0000 0.0000
0.0000 0.0000 0.3838
0.0000 0.0000 0.6162
0.5000 0.5000 0.1627
0.5000 0.5000 0.8373
0.5000 0.5000 0.5000
```